Entry 1:
## HfZrMo3 (PBE)

Data for a relaxed structure of HfZrMo3.

```
HfZrMo3
1.0
4.777 0.000 0.000
0.000 4.777 0.000
0.000 0.000 4.777
Hf Zr Mo
1 1 3
Direct
0.000 0.000 0.000
0.500 0.500 0.500
0.000 0.000 0.500
0.000 0.500 0.000
0.500 0.000 0.000
```

Output
Energy relative to the elements ... 1.602 eV per atom
Total magnetic moment ... 0.19 μB/atom
Energy relative to the lowest polymorph listed for this composition ... 0.0 meV/atom
Crystal system ... cubic
Volume ... 109.0 Å³/cell

Entry 2:
## NaInO3 (PBE)

Data for a relaxed structure of NaInO3.

```
NaInO3
1.0
4.171 0.000 0.000
0.000 4.171 0.000
0.000 0.000 4.171
Na In O
1 1 3
Direct
0.000 0.000 0.000
0.500 0.500 0.500
0.000 0.500 0.500
0.500 0.000 0.500
0.500 0.500 0.000
```

Output
Formation energy without anion corrections ... -0.7522 eV/atom
Total magnetic moment ... 0.40 μB/atom
Crystal system ... cubic
Volume ... 72.5 Å³/cell

Entry 3:
## BaRuS2 (PBE)

Data for a relaxed structure of BaRuS2.

```
BaRuS2
1.0
0.000 3.492 3.492
3.492 0.000 3.492
3.492 3.492 0.000
Ba Ru S
1 1 2
Direct
0.000 0.000 0.000
0.500 0.500 0.500
0.250 0.250 0.250
0.750 0.750 0.750
```

Output
Formation energy without anion corrections ... -0.1894 eV/atom
Total magnetic moment ... 0.50 μB/atom
Energy relative to the lowest polymorph listed for this composition ... 143.2 meV/atom
Crystal system ... cubic
Volume ... 85.2 Å³/cell

Entry 4:
## TmUTi (PBE)

Data for a relaxed structure of TmUTi.

```
TmUTi
1.0
7.878 -1.671 0.000
7.878 1.671 0.000
-0.493 0.000 5.071
Tm U Ti
2 2 2
Direct
0.064 0.064 0.273
0.936 0.936 0.727
0.255 0.255 0.703
0.745 0.745 0.297
0.380 0.380 0.204
0.620 0.620 0.796
```

Output
Energy relative to the elements ... 0.175 eV per atom
Total magnetic moment ... 0.00 μB/atom
Crystal system ... monoclinic
Volume ... 133.5 Å³/cell

Entry 5:
## LiSmCuHg (PBE)

Data for a relaxed structure of LiSmCuHg.

```
LiSmCuHg
1.0
0.000 3.386 3.386
3.386 0.000 3.386
3.386 3.386 0.000
Li Sm Cu Hg
1 1 1 1
Direct
0.000 0.000 0.000
0.250 0.250 0.250
0.500 0.500 0.500
0.750 0.750 0.750
```

Output
Energy relative to the elements ... -0.219 eV per atom
Total magnetic moment ... 0.00 μB/atom
Crystal system ... cubic
Volume ... 77.6 Å³/cell

Entry 6:
## Tm4Ni2Hg (PBE)

Data for a relaxed structure of Tm4Ni2Hg.

```
Tm4Ni2Hg
1.0
4.141 -7.263 0.000
4.141 7.263 0.000
-4.116 0.000 5.290
Tm Ni Hg
8 4 2
Direct
0.029 0.971 0.500
0.081 0.432 0.831
0.326 0.815 0.658
0.432 0.081 0.331
0.483 0.563 0.364
0.563 0.483 0.864
0.815 0.326 0.158
0.971 0.029 0.000
0.030 0.696 0.152
0.177 0.357 0.472
0.357 0.177 0.972
0.696 0.030 0.652
0.621 0.886 0.167
0.886 0.621 0.667
```

Output
Energy relative to the elements ... -0.353 eV per atom
Total magnetic moment ... 0.00 μB/atom
Crystal system ... monoclinic
Volume ... 318.2 Å³/cell

Entry 7:
## Ba2LaBr (PBE)

Data for a relaxed structure of Ba2LaBr.

```
Ba2LaBr
1.0
7.320 -2.042 0.000
7.320 2.042 0.000
-3.462 0.000 6.235
Ba La Br
2 1 1
Direct
0.208 0.208 0.208
0.792 0.792 0.792
0.000 0.000 0.500
0.500 0.500 0.000
```

Output
Formation energy without anion corrections ... -0.3793 eV/atom
Total magnetic moment ... 0.01 μB/atom
Energy relative to the lowest polymorph listed for this composition ... 267.2 meV/atom
Crystal system ... monoclinic
Volume ... 186.4 Å³/cell

Entry 8:
## TbUP2Ir5 (PBE)

Data for a relaxed structure of TbUP2Ir5.

```
TbUP2Ir5
1.0
4.016 0.000 0.000
0.000 4.016 0.000
0.000 0.000 11.061
Tb U P Ir
1 1 2 5
Direct
0.000 0.000 0.000
0.000 0.000 0.500
0.500 0.500 0.292
0.500 0.500 0.708
0.000 0.500 0.198
0.000 0.500 0.802
0.500 0.000 0.198
0.500 0.000 0.802
0.500 0.500 0.500
```

Output
Energy relative to the elements ... -0.475 eV per atom
Total magnetic moment ... 0.28 μB/atom
Crystal system ... tetragonal
Volume ... 178.4 Å³/cell

Entry 9:
## RbBaH (PBE)

Data for a relaxed structure of RbBaH.

```
RbBaH
1.0
7.284 0.000 0.000
0.000 4.464 0.000
-0.121 0.000 8.310
Rb Ba H
2 2 2
Direct
0.000 0.000 0.000
0.486 0.500 0.802
0.452 0.000 0.329
0.951 0.500 0.461
0.225 0.500 0.246
0.589 0.500 0.460
```

Output
Total magnetic moment ... 0.02 μB/atom
Energy relative to the lowest polymorph listed for this composition ... 119.4 meV/atom
Crystal system ... monoclinic
Volume ... 270.3 Å³/cell

Entry 10:
## Mg2Br (PBE)

Data for a relaxed structure of Mg2Br.

```
Mg2Br
1.0
6.633 -1.771 0.000
6.633 1.771 0.000
-4.390 0.000 7.319
Mg Br
4 2
Direct
0.000 0.000 0.000
0.253 0.253 0.743
0.586 0.586 0.350
0.859 0.859 0.577
0.388 0.388 0.375
0.673 0.673 0.885
```

Output
Formation energy without anion corrections ... -0.4341 eV/atom
Total magnetic moment ... 0.00 μB/atom
Energy relative to the lowest polymorph listed for this composition ... 80.8 meV/atom
Crystal system ... monoclinic
Volume ... 172.0 Å³/cell

Entry 11:
## Sm4YIn (PBE)

Data for a relaxed structure of Sm4YIn.

```
Sm4YIn
1.0
4.124 0.000 0.000
0.000 4.124 0.000
0.000 0.000 11.211
Sm Y In
4 1 1
Direct
0.000 0.000 0.147
0.000 0.000 0.853
0.500 0.500 0.331
0.500 0.500 0.669
0.000 0.000 0.500
0.500 0.500 0.000
```

Output
Energy relative to the elements ... -0.074 eV per atom
Total magnetic moment ... 0.00 μB/atom
Energy relative to the lowest polymorph listed for this composition ... 0.0 meV/atom
Crystal system ... tetragonal
Volume ... 190.7 Å³/cell

Entry 12:
## LaAlCu2 (PBE)

Data for a relaxed structure of LaAlCu2.

```
LaAlCu2
1.0
-2.356 2.356 8.288
2.356 -2.356 8.288
2.356 2.356 -8.288
La Al Cu
2 2 4
Direct
0.375 0.625 0.750
0.625 0.375 0.250
0.125 0.875 0.250
0.875 0.125 0.750
0.000 0.000 0.000
0.000 0.000 0.500
0.000 0.500 0.000
0.500 0.000 0.500
```

Output
Energy relative to the elements ... -0.059 eV per atom
Total magnetic moment ... 0.00 μB/atom
Crystal system ... tetragonal
Volume ... 184.1 Å³/cell